No. 1
Entry from Alexandria via LeMat-Bulk: a relaxed structure of LaTl3Os (PBE-GGA).

Properties
* M_tot: 0.194 μB/cell
* energy relative to the elements: 10.15 eV per formula unit

abc: 5.9940 5.9940 5.9940
angles: 90.00 90.00 90.00
Space group Pm-3m (No. 221)
Asymmetric unit:
La 0.0000 0.0000 0.0000 [1 per cell]
Tl 0.0000 0.0000 0.5000 [3 per cell]
Os 0.5000 0.5000 0.5000 [1 per cell]



No. 2
Entry from Alexandria via LeMat-Bulk: a relaxed structure of Cs2TmU3O12 (PBE-GGA).

Properties
* formation energy from raw total energies: -2935 meV per atom
* M_tot: 0.000 μB/cell

abc: 8.0661 8.0661 18.9098
angles: 90.00 90.00 120.00
Space group R-3m (No. 166, hexagonal axes)
Asymmetric unit:
Cs 0.0000 0.0000 0.1216 [6 per cell]
Tm 0.0000 0.0000 0.5000 [3 per cell]
U 0.0000 0.5000 0.0000 [9 per cell]
O 0.0689 0.5345 0.1011 [18 per cell]
O 0.0798 0.5399 0.3519 [18 per cell]



No. 3
Entry from Alexandria via LeMat-Bulk: a relaxed structure of Mg2InAs (PBE-GGA).

Properties
* M_tot: 0.000 μB/cell
* energy relative to the elements: -0.17 eV per formula unit

abc: 3.3656 3.3656 8.0841
angles: 90.00 90.00 90.00
Space group P4mm (No. 99)
Asymmetric unit:
Mg 0.0000 0.0000 0.0000 [1 per cell]
Mg 0.5000 0.5000 0.2748 [1 per cell]
In 0.5000 0.5000 0.7201 [1 per cell]
As 0.0000 0.0000 0.4631 [1 per cell]



No. 4
Entry from Alexandria via LeMat-Bulk: a relaxed structure of KMgAs2Br (PBE-GGA).

Properties
* formation energy from raw total energies: 822 meV per atom
* M_tot: 2.614 μB/cell

abc: 5.8386 5.8386 5.7376
angles: 90.00 90.00 90.00
Space group P4/mmm (No. 123)
Asymmetric unit:
K 0.0000 0.0000 0.0000 [1 per cell]
Mg 0.5000 0.5000 0.5000 [1 per cell]
As 0.0000 0.5000 0.0000 [2 per cell]
Br 0.0000 0.0000 0.5000 [1 per cell]



No. 5
Entry from Alexandria via LeMat-Bulk: a relaxed structure of YHgSbTe2 (PBE-GGA).

Properties
* formation energy from raw total energies: 230 meV per atom
* M_tot: 0.000 μB/cell

abc: 5.5496 5.5496 5.5002
angles: 90.00 90.00 90.00
Space group P4/mmm (No. 123)
Asymmetric unit:
Y 0.0000 0.0000 0.0000 [1 per cell]
Hg 0.5000 0.5000 0.5000 [1 per cell]
Sb 0.5000 0.5000 0.0000 [1 per cell]
Te 0.0000 0.5000 0.5000 [2 per cell]



No. 6
Entry from Alexandria via LeMat-Bulk: a relaxed structure of SrCaCd2Ni (PBE-GGA).

Properties
* M_tot: 0.000 μB/cell
* energy relative to the elements: -0.70 eV per formula unit

abc: 5.2085 5.2085 5.0563
angles: 90.00 90.00 90.00
Space group P4/mmm (No. 123)
Asymmetric unit:
Sr 0.0000 0.0000 0.0000 [1 per cell]
Ca 0.5000 0.5000 0.0000 [1 per cell]
Cd 0.0000 0.5000 0.5000 [2 per cell]
Ni 0.5000 0.5000 0.5000 [1 per cell]



No. 7
Entry from Alexandria via LeMat-Bulk: a relaxed structure of Tl2Cd3Br8 (PBE-GGA).

Properties
* formation energy from raw total energies: -853 meV per atom
* M_tot: 0.000 μB/cell

abc: 16.1013 8.3164 7.2532
angles: 90.00 107.68 90.00
Space group C2/m (No. 12)
Asymmetric unit:
Tl 0.2337 0.0000 0.1659 [4 per cell]
Cd 0.0000 0.2419 0.5000 [4 per cell]
Cd 0.0000 0.5000 0.0000 [2 per cell]
Br 0.1007 0.2669 0.8923 [8 per cell]
Br 0.1010 0.5000 0.4029 [4 per cell]
Br 0.1106 0.0000 0.4528 [4 per cell]



No. 8
Entry from Alexandria via LeMat-Bulk: a relaxed structure of Y8Ga2Pt (PBE-GGA).

Properties
* M_tot: 0.000 μB/cell
* energy relative to the elements: -5.00 eV per formula unit

abc: 18.7206 4.9512 6.6238
angles: 90.00 102.59 90.00
Space group C2/m (No. 12)
Asymmetric unit:
Y 0.0260 0.0000 0.2806 [4 per cell]
Y 0.0902 0.5000 0.9552 [4 per cell]
Y 0.1547 0.5000 0.4834 [4 per cell]
Y 0.2111 0.0000 0.8258 [4 per cell]
Ga 0.1865 0.0000 0.2582 [4 per cell]
Pt 0.0000 0.5000 0.5000 [2 per cell]



No. 9
Entry from Alexandria via LeMat-Bulk: a relaxed structure of V2CrPt5 (PBE-GGA).

Properties
* M_tot: 0.271 μB/cell
* energy relative to the elements: -3.58 eV per formula unit

abc: 5.5009 11.0473 3.8599
angles: 90.00 90.00 90.00
Space group Pbam (No. 55)
Asymmetric unit:
V 0.2445 0.1230 0.0000 [4 per cell]
Cr 0.0000 0.0000 0.5000 [2 per cell]
Pt 0.0000 0.5000 0.5000 [2 per cell]
Pt 0.0015 0.2450 0.5000 [4 per cell]
Pt 0.2420 0.8819 0.0000 [4 per cell]



No. 10
Entry from Alexandria via LeMat-Bulk: a relaxed structure of Rb3MgBi2 (PBE-GGA).

Properties
* M_tot: 0.000 μB/cell
* energy relative to the elements: -1.42 eV per formula unit

abc: 20.7817 3.9874 14.8034
angles: 90.00 113.71 90.00
Space group C2/m (No. 12)
Asymmetric unit:
Rb 0.0278 0.0000 0.2177 [4 per cell]
Rb 0.1632 0.5000 0.0179 [4 per cell]
Rb 0.2388 0.0000 0.6245 [4 per cell]
Mg 0.0641 0.5000 0.6262 [4 per cell]
Bi 0.0935 0.5000 0.4430 [4 per cell]
Bi 0.1508 0.0000 0.7936 [4 per cell]



No. 11
Entry from Alexandria via LeMat-Bulk: a relaxed structure of Ge3SN (PBE-GGA).

Properties
* formation energy from raw total energies: 694 meV per atom
* M_tot: 0.000 μB/cell

abc: 4.4827 4.4827 4.4827
angles: 90.00 90.00 90.00
Space group Pm-3m (No. 221)
Asymmetric unit:
Ge 0.0000 0.0000 0.5000 [3 per cell]
S 0.5000 0.5000 0.5000 [1 per cell]
N 0.0000 0.0000 0.0000 [1 per cell]



No. 12
Entry from Alexandria via LeMat-Bulk: a relaxed structure of CaSeSN2 (PBE-GGA).

Properties
* formation energy from raw total energies: 1507 meV per atom
* M_tot: 4.990 μB/cell

abc: 4.4678 4.4678 5.7493
angles: 90.00 90.00 90.00
Space group P4/mmm (No. 123)
Asymmetric unit:
Ca 0.0000 0.0000 0.0000 [1 per cell]
Se 0.5000 0.5000 0.5000 [1 per cell]
S 0.0000 0.0000 0.5000 [1 per cell]
N 0.0000 0.5000 0.0000 [2 per cell]



No. 13
Entry from Alexandria via LeMat-Bulk: a relaxed structure of Sc3Fe8W (PBE-GGA).

Properties
* M_tot: 37.370 μB/cell
* energy relative to the elements: -2.16 eV per formula unit

abc: 4.8752 4.8752 23.9052
angles: 90.00 90.00 120.00
Space group R3m (No. 160, hexagonal axes)
Asymmetric unit:
Sc 0.0000 0.0000 0.0000 [3 per cell]
Sc 0.0000 0.0000 0.1256 [3 per cell]
Sc 0.0000 0.0000 0.5008 [3 per cell]
Fe 0.0000 0.0000 0.3126 [3 per cell]
Fe 0.0000 0.0000 0.8127 [3 per cell]
Fe 0.0021 0.5010 0.5649 [9 per cell]
Fe 0.1679 0.3358 0.3941 [9 per cell]
W 0.0000 0.0000 0.6249 [3 per cell]



No. 14
Entry from Alexandria via LeMat-Bulk: a relaxed structure of Y4BiSb2Se (PBE-GGA).

Properties
* formation energy from raw total energies: -1250 meV per atom
* M_tot: 0.000 μB/cell

abc: 7.5186 4.3486 7.5280
angles: 90.00 109.40 90.00
Space group P2/m (No. 10)
Asymmetric unit:
Y 0.2483 0.0000 0.2429 [2 per cell]
Y 0.2517 0.5000 0.7560 [2 per cell]
Bi 0.5000 0.5000 0.5000 [1 per cell]
Sb 0.0000 0.0000 0.5000 [1 per cell]
Sb 0.0000 0.5000 0.0000 [1 per cell]
Se 0.5000 0.0000 0.0000 [1 per cell]



No. 15
Entry from Alexandria via LeMat-Bulk: a relaxed structure of Sr2LaAu (PBE-GGA).

Properties
* M_tot: 0.016 μB/cell
* energy relative to the elements: -1.18 eV per formula unit

abc: 3.9639 6.0438 12.6404
angles: 90.00 90.00 90.00
Space group Imm2 (No. 44)
Asymmetric unit:
Sr 0.0000 0.0000 0.0000 [2 per cell]
Sr 0.0000 0.5000 0.1921 [2 per cell]
La 0.0000 0.0000 0.3806 [2 per cell]
Au 0.0000 0.5000 0.7010 [2 per cell]